! CaCoRuO6 GGA+U optimized geometry; values from VASP
! * space-group type: P312
! * V: 110.70 Å³/cell
! * raw total energy: -0.2361 hartree per atom
&SYSTEM
  ibrav = 0, nat = 9, ntyp = 4
/
ATOMIC_SPECIES
Ca 40.08 Ca.upf
Co 58.93 Co.upf
Ru 101.07 Ru.upf
O 16.00 O.upf
ATOMIC_POSITIONS crystal
Ca 0.000 0.000 0.000
Co 0.333 0.667 0.500
Ru 0.667 0.333 0.500
O 0.005 0.382 0.709
O 0.005 0.623 0.291
O 0.377 0.382 0.291
O 0.377 0.995 0.709
O 0.618 0.623 0.709
O 0.618 0.995 0.291
CELL_PARAMETERS angstrom
5.053 0.000 0.000
-2.526 4.376 0.000
0.000 0.000 5.007